First-principles (PBE) data for HfBe2SnTe after structural relaxation, as listed in the Alexandria database.

The structure belongs to space group P4/mmm (No. 123); the cell edges are 4.898, 4.898 and 5.627 Å and the angles 90.00°, 90.00° and 90.00°. The inequivalent atoms are Hf at (0.000, 0.000, 0.000), Be at (0.000, 0.500, 0.000), Sn at (0.000, 0.000, 0.500) and Te at (0.500, 0.500, 0.500).

Its formation energy (no corrections) is 593 kJ/mol of formula units.

***

First-principles (PBE) data for BaAg4Rh after structural relaxation, as listed in the Alexandria database.

The structure belongs to space group F-43m (No. 216); the cell edges are 8.023, 8.023 and 8.023 Å and the angles 90.00°, 90.00° and 90.00°. The inequivalent atoms are Ba at (0.000, 0.000, 0.000), Ag at (0.124, 0.124, 0.376) and Rh at (0.250, 0.250, 0.750).

The formation energy comes out at 0.62 eV per formula unit.

***

First-principles (PBE) data for TeC2Se after structural relaxation, as listed in the Alexandria database.

The structure belongs to space group I-42d (No. 122); the cell edges are 5.782, 5.782 and 7.874 Å and the angles 90.00°, 90.00° and 90.00°. The inequivalent atoms are Te at (0.000, 0.000, 0.000), C at (0.230, 0.250, 0.625) and Se at (0.000, 0.000, 0.500).

Its formation energy (no corrections) is 743 kJ/mol of formula units. The energy above the lowest structure with this stoichiometry comes out at 0 meV per atom.

***

First-principles (PBE) data for Cu12Te3Br5 after structural relaxation, as listed in the Alexandria database.

The structure belongs to space group Ia-3d (No. 230); the cell edges are 15.135, 15.135 and 15.135 Å and the angles 90.00°, 90.00° and 90.00°. The inequivalent atoms are Cu at (0.001, 0.078, 0.655), Te at (0.000, 0.250, 0.125), Br at (0.000, 0.000, 0.000) and Br at (0.000, 0.250, 0.375).

Its formation energy (no corrections) is 85 kJ/mol of formula units.

***

First-principles (PBE) data for BeZn2Ir after structural relaxation, as listed in the Alexandria database.

The structure belongs to space group C2/m (No. 12); the cell edges are 4.991, 8.833 and 2.788 Å and the angles 90.00°, 121.05° and 90.00°. The inequivalent atoms are Be at (0.000, 0.000, 0.000), Zn at (0.250, 0.250, 0.500) and Ir at (0.000, 0.500, 0.000).

The formation energy comes out at -0.18 eV per formula unit.

***

First-principles (PBE) data for ErTh4Sc8 after structural relaxation, as listed in the Alexandria database.

The structure belongs to space group R-3m (No. 166, hexagonal axes); the cell edges are 7.1121, 7.1121 and 24.6543 Å and the angles 90.00°, 90.00° and 120.00°. The inequivalent atoms are Er at (0.0000, 0.0000, 0.0000), Th at (0.0000, 0.0000, 0.5000), Th at (0.0000, 0.5000, 0.5000), Sc at (0.0000, 0.0000, 0.2816) and Sc at (0.0517, 0.5258, 0.2723).

The formation energy comes out at 3.01 eV per formula unit.

***

First-principles (PBE) data for Ta2GaRh after structural relaxation, as listed in the Alexandria database.

The structure belongs to space group P4/mmm (No. 123); the cell edges are 4.000, 4.000 and 4.060 Å and the angles 90.00°, 90.00° and 90.00°. The inequivalent atoms are Ta at (0.000, 0.500, 0.000), Ga at (0.000, 0.000, 0.500) and Rh at (0.500, 0.500, 0.500).

The formation energy comes out at -1.22 eV per formula unit.

***

First-principles (PBE) data for Ti2Nb3 after structural relaxation, as listed in the Alexandria database.

The structure belongs to space group Cmce (No. 64); the cell edges are 6.068, 8.131 and 7.545 Å and the angles 90.00°, 90.00° and 90.00°. The inequivalent atoms are Ti at (0.000, 0.127, 0.093), Nb at (0.000, 0.000, 0.500) and Nb at (0.250, 0.147, 0.750).

The formation energy comes out at 1.35 eV per formula unit. The energy above the lowest structure with this stoichiometry comes out at 174 meV per atom.

***

First-principles (PBE) data for CaV2C2 after structural relaxation, as listed in the Alexandria database.

The structure belongs to space group I4/mmm (No. 139); the cell edges are 3.592, 3.592 and 10.809 Å and the angles 90.00°, 90.00° and 90.00°. The inequivalent atoms are Ca at (0.000, 0.000, 0.000), V at (0.000, 0.500, 0.250) and C at (0.000, 0.000, 0.341).

The formation energy comes out at -0.71 eV per formula unit. The energy above the lowest structure with this stoichiometry comes out at 0 meV per atom.

***

First-principles (PBE) data for K3PrNd2Te6 after structural relaxation, as listed in the Alexandria database.

The structure belongs to space group C2/m (No. 12); the cell edges are 8.018, 13.886 and 8.683 Å and the angles 90.00°, 107.94° and 90.00°. The inequivalent atoms are K at (0.000, 0.000, 0.000), K at (0.000, 0.334, 0.000), Pr at (0.000, 0.500, 0.500), Nd at (0.000, 0.167, 0.500), Te at (0.237, 0.000, 0.715) and Te at (0.239, 0.333, 0.715).

Its formation energy (no corrections) is -1642 kJ/mol of formula units.

***

First-principles (PBE) data for CaMgAu after structural relaxation, as listed in the Alexandria database.

The structure belongs to space group F-43m (No. 216); the cell edges are 6.876, 6.876 and 6.876 Å and the angles 90.00°, 90.00° and 90.00°. The inequivalent atoms are Ca at (0.000, 0.000, 0.000), Mg at (0.000, 0.000, 0.500) and Au at (0.250, 0.250, 0.250).

The formation energy comes out at -1.54 eV per formula unit.

***

First-principles (PBE) data for BaSb3 after structural relaxation, as listed in the Alexandria database.

The structure belongs to space group C2/m (No. 12); the cell edges are 10.996, 8.618 and 6.575 Å and the angles 90.00°, 112.87° and 90.00°. The inequivalent atoms are Ba at (0.165, 0.000, 0.321), Sb at (0.013, 0.500, 0.228) and Sb at (0.137, 0.220, 0.797).

Its formation energy (no corrections) is -211 kJ/mol of formula units.

***

Number 1: E -3.68 eV per atom. Number 2: E -3.34 eV per atom. Number 3: E -4.34 eV per atom. Number 4: E -3.30 eV per atom. Number 5: E -3.83 eV per atom. Number 6: E -6.30 eV per atom. Number 7: E -8.83 eV per atom. Number 8: E -8.93 eV per atom. Number 9: E -7.88 eV per atom. Number 10: E -4.46 eV per atom. Number 11: E -2.80 eV per atom. Number 12: E -4.12 eV per atom.